1.
{
  "formula": "CoBiTe",
  "functional": "PBE-GGA",
  "state": "relaxed",
  "formation_energy_uncorrected_ev_per_fu": -0.18,
  "volume_a3_per_cell": 136,
  "space_group": "P2/m, No. 10",
  "cell": [[5.5257, 0.0000, 0.0000], [0.0000, 3.8487, 0.0000], [-0.3935, 0.0000, 6.4051]],
  "species": ["Co", "Co", "Bi", "Bi", "Te", "Te"],
  "fractional_positions": [[0.0000, 0.0000, 0.0000], [0.5000, 0.5000, 0.5000], [0.2242, 0.0000, 0.6463], [0.7758, 0.0000, 0.3537], [0.2709, 0.5000, 0.1448], [0.7291, 0.5000, 0.8552]]
}

---

2.
{
  "formula": "Ca3Ag8Sn",
  "functional": "PBE-GGA",
  "state": "relaxed",
  "volume_a3_per_cell": 263,
  "e_form_ev_per_atom": -0.2431,
  "space_group": "R3m, No. 160",
  "cell": [[2.8314, 1.6347, 9.4853], [-2.8314, 1.6347, 9.4853], [0.0000, -3.2695, 9.4853]],
  "species": ["Ca", "Ca", "Ca", "Ag", "Ag", "Ag", "Ag", "Ag", "Ag", "Ag", "Ag", "Sn"],
  "fractional_positions": [[0.0000, 0.0000, 0.0000], [0.1284, 0.1284, 0.1284], [0.5142, 0.5142, 0.5142], [0.0686, 0.0686, 0.5653], [0.0686, 0.5653, 0.0686], [0.0698, 0.5684, 0.5684], [0.3184, 0.3184, 0.3184], [0.5653, 0.0686, 0.0686], [0.5684, 0.0698, 0.5684], [0.5684, 0.5684, 0.0698], [0.8183, 0.8183, 0.8183], [0.6347, 0.6347, 0.6347]]
}